Computed, not measured: a relaxed structure of Sr11Tl9In4 at the PBE level of DFT.

Geometry as extended XYZ:
```
24
Lattice="8.326 -11.915 0.000 8.326 11.915 0.000 0.000 0.000 4.131" Properties=species:S:1:pos:R:3 pbc="T T T"
Sr 0.000 0.000 0.000
Sr 3.964 4.069 0.000
Sr 8.326 7.783 0.000
Sr 4.113 0.000 0.000
Sr 8.326 3.384 0.000
Sr 3.964 -4.069 0.000
Sr 12.688 4.069 0.000
Sr 8.326 -3.384 0.000
Sr 12.539 0.000 0.000
Sr 8.326 -7.783 0.000
Sr 12.688 -4.069 0.000
Tl 2.017 1.969 2.066
Tl 6.443 5.590 2.066
Tl 2.017 -1.969 2.066
Tl 10.209 5.590 2.066
Tl 8.326 0.000 2.066
Tl 6.443 -5.590 2.066
Tl 14.635 1.969 2.066
Tl 10.209 -5.590 2.066
Tl 14.635 -1.969 2.066
In 5.885 2.106 2.066
In 5.885 -2.106 2.066
In 10.767 2.106 2.066
In 10.767 -2.106 2.066
```

* magnetic moment: 0.000 μB per atom
* SG: Cmmm, No. 65
* crystal system: orthorhombic
* Fermi-level density of states: 0.66 states/eV per atom
* theoretical density: 6.6 g/cm3
* DFT total energy: -2.491 eV/atom